[1]
Compound: Cd2BiBS
Source: Alexandria via LeMat-Bulk
Functional: GGA-PBE
Structure: optimized geometry

Cell and atoms, written as CIF:
```
data_Cd2BiBS
_cell_length_a 4.406
_cell_length_b 4.406
_cell_length_c 5.730
_cell_angle_alpha 90.00
_cell_angle_beta 90.00
_cell_angle_gamma 90.00
_space_group_name_H-M_alt 'P 4/m m m'
_space_group_IT_number 123
_space_group_name_Hall '-P 4 2'
loop_
_atom_site_label
_atom_site_type_symbol
_atom_site_fract_x
_atom_site_fract_y
_atom_site_fract_z
Cd1 Cd 0.000 0.500 0.000
Bi1 Bi 0.000 0.000 0.500
B1 B 0.500 0.500 0.000
S1 S 0.500 0.500 0.500
```

* uncorrected formation energy: 0.54 eV/atom

[2]
Compound: Mg2ZrPb
Source: Alexandria via LeMat-Bulk
Functional: GGA-PBE
Structure: optimized geometry

Cell and atoms, written as CIF:
```
data_Mg2ZrPb
_cell_length_a 3.367
_cell_length_b 4.314
_cell_length_c 6.427
_cell_angle_alpha 90.00
_cell_angle_beta 90.00
_cell_angle_gamma 90.00
_space_group_name_H-M_alt 'P m m 2'
_space_group_IT_number 25
loop_
_space_group_symop_operation_xyz
'x,y,z'
'-x,-y,z'
'-x,y,z'
'x,-y,z'
loop_
_atom_site_label
_atom_site_type_symbol
_atom_site_fract_x
_atom_site_fract_y
_atom_site_fract_z
Mg1 Mg 0.000 0.000 0.000
Mg2 Mg 0.500 0.500 0.233
Zr1 Zr 0.500 0.500 0.747
Pb1 Pb 0.000 0.000 0.506
```

* formation energy from the elements: -0.033 eV per atom

[3]
Compound: Hg2PRh
Source: Alexandria via LeMat-Bulk
Functional: GGA-PBE
Structure: optimized geometry

Cell and atoms, written as CIF:
```
data_Hg2PRh
_cell_length_a 14.853
_cell_length_b 2.860
_cell_length_c 3.864
_cell_angle_alpha 90.00
_cell_angle_beta 91.23
_cell_angle_gamma 90.00
_space_group_name_H-M_alt 'C 1 2/m 1'
_space_group_IT_number 12
loop_
_space_group_symop_operation_xyz
'x,y,z'
'-x,-y,-z'
'-x,y,-z'
'x,-y,z'
'x+1/2,y+1/2,z'
'-x+1/2,-y+1/2,-z'
'-x+1/2,y+1/2,-z'
'x+1/2,-y+1/2,z'
loop_
_atom_site_label
_atom_site_type_symbol
_atom_site_fract_x
_atom_site_fract_y
_atom_site_fract_z
Hg1 Hg 0.177 0.000 0.211
P1 P 0.000 0.000 0.500
Rh1 Rh 0.000 0.500 0.000
```

* formation energy from the elements: 0.072 eV per atom

[4]
Compound: HoEr2Zr
Source: Alexandria via LeMat-Bulk
Functional: GGA-PBE
Structure: optimized geometry

Cell and atoms, written as CIF:
```
data_HoEr2Zr
_cell_length_a 3.4429
_cell_length_b 3.4429
_cell_length_c 33.2322
_cell_angle_alpha 90.00
_cell_angle_beta 90.00
_cell_angle_gamma 120.00
_space_group_name_H-M_alt 'R 3 m'
_space_group_IT_number 160
_space_group_name_Hall 'R 3 -2"'
loop_
_atom_site_label
_atom_site_type_symbol
_atom_site_fract_x
_atom_site_fract_y
_atom_site_fract_z
Ho1 Ho 0.0000 0.0000 0.0000
Er1 Er 0.0000 0.0000 0.2460
Er2 Er 0.0000 0.0000 0.4214
Zr1 Zr 0.0000 0.0000 0.8339
```

* formation energy from the elements: 0.063 eV per atom

[5]
Compound: Ce6IrOs2Cl3
Source: Alexandria via LeMat-Bulk
Functional: GGA-PBE
Structure: optimized geometry

Cell and atoms, written as CIF:
```
data_Ce6IrOs2Cl3
_cell_length_a 7.013
_cell_length_b 12.147
_cell_length_c 7.722
_cell_angle_alpha 90.00
_cell_angle_beta 107.62
_cell_angle_gamma 90.00
_space_group_name_H-M_alt 'C 1 2/m 1'
_space_group_IT_number 12
loop_
_space_group_symop_operation_xyz
'x,y,z'
'-x,-y,-z'
'-x,y,-z'
'x,-y,z'
'x+1/2,y+1/2,z'
'-x+1/2,-y+1/2,-z'
'-x+1/2,y+1/2,-z'
'x+1/2,-y+1/2,z'
loop_
_atom_site_label
_atom_site_type_symbol
_atom_site_fract_x
_atom_site_fract_y
_atom_site_fract_z
Ce1 Ce 0.232 0.000 0.206
Ce2 Ce 0.237 0.331 0.206
Ir1 Ir 0.000 0.500 0.000
Os1 Os 0.000 0.167 0.000
Cl1 Cl 0.000 0.000 0.500
Cl2 Cl 0.000 0.333 0.500
```

* uncorrected formation energy: -0.96 eV/atom

[6]
Compound: BeSnRh2
Source: Alexandria via LeMat-Bulk
Functional: GGA-PBE
Structure: optimized geometry

Cell and atoms, written as CIF:
```
data_BeSnRh2
_cell_length_a 4.160
_cell_length_b 4.160
_cell_length_c 3.322
_cell_angle_alpha 90.00
_cell_angle_beta 90.00
_cell_angle_gamma 90.00
_space_group_name_H-M_alt 'P 4/m m m'
_space_group_IT_number 123
_space_group_name_Hall '-P 4 2'
loop_
_atom_site_label
_atom_site_type_symbol
_atom_site_fract_x
_atom_site_fract_y
_atom_site_fract_z
Be1 Be 0.000 0.000 0.000
Sn1 Sn 0.500 0.500 0.000
Rh1 Rh 0.000 0.500 0.500
```

* formation energy from the elements: -0.398 eV per atom